NaAsF5 GGA-PBE relaxed; raw formation energy = -2.235 eV per atom; magnetic moment = 0.000 μB/f.u.
1.0
-5.081 4.274 -0.298
-5.013 -0.963 -2.449
-5.346 -1.082 1.517
Na As F
1 1 5
Cartesian
-5.059 -0.980 -1.898 Na
-7.766 1.098 -0.066 As
-6.579 2.519 0.077 F
-7.599 1.157 -2.051 F
-8.953 -0.324 -0.208 F
-9.210 2.312 -0.151 F
-6.322 -0.117 0.019 F